# 1
First-principles (PBE) data for CsNp2UO8 after structural relaxation, as listed in the Alexandria database.

a b c (Å): 5.2409 5.2447 8.5599
angles (deg): 88.36 87.90 87.40
Last column: nearest neighbours and their distance in Å.
Space group P-1 (No. 2)
One atom of each set of equivalent atoms:
1 Cs 0.0000 0.0000 0.0000  6 O 2.89-3.14
2 Np 0.4893 0.4873 0.3010  2 O 1.86-2.05
3 U 0.0000 0.0000 0.5000  4 O 2.04
4 O 0.1850 0.8006 0.6729  1 U 2.04, 1 Np 2.24
5 O 0.2064 0.8183 0.3262  1 U 2.04, 1 Np 2.24
6 O 0.3168 0.3215 0.4951  1 Np 2.05
7 O 0.3566 0.3674 0.8776  1 Np 1.86

Output
Formation energy without anion corrections = -2742 meV per atom

# 2
First-principles (PBE) data for Cs2NpUO6 after structural relaxation, as listed in the Alexandria database.

a b c (Å): 8.8069 8.8069 8.8069
angles (deg): 90.00 90.00 90.00
Last column: nearest neighbours and their distance in Å.
Space group Fm-3m (No. 225)
One atom of each set of equivalent atoms:
1 Cs 0.2500 0.2500 0.2500  12 O 3.11
2 Np 0.0000 0.0000 0.0000  6 O 2.23
3 U 0.0000 0.0000 0.5000  6 O 2.17
4 O 0.0000 0.0000 0.2536  1 U 2.17, 1 Np 2.23

Output
Formation energy without anion corrections = -2677 meV per atom

Size of the total moment values (in μB per formula unit) by entry order: 5.0 3.0.
Energy values (in Ha/atom) by entry order: -0.3387 -0.3030.